[1]
Ac3TlH | Alexandria | GGA-PBE | optimized geometry; SG = C2/m (12); total moment = 0.0 μB/f.u.; total energy = -3.81 eV per atom; density of states at the Fermi level = 0.88 states/eV/atom; ρ = 9.18 g cm⁻³
1.0
-3.5400 3.5669 -5.4696
3.9442 -3.0235 -4.5245
-3.2108 -6.0262 3.1916
Ac Tl H
6 2 2
Direct
0.8557 0.8179 0.2296
0.1426 0.3423 0.2851
0.3739 0.8179 0.2296
0.6261 0.1821 0.7704
0.1443 0.1821 0.7704
0.8574 0.6577 0.7149
0.3721 0.6889 0.7443
0.6279 0.3111 0.2557
0.7694 0.9527 0.5388
0.2306 0.0473 0.4612

[2]
Ac2TlH | Alexandria | GGA-PBE | optimized geometry; SG = R-3m (166); total moment = 0.0 μB/f.u.; total energy = -3.55 eV per atom; density of states at the Fermi level = 0.69 states/eV/atom; ρ = 7.80 g cm⁻³
1.0
-1.0943 2.6093 2.9561
-3.1202 -0.9145 2.4845
4.7266 -3.7769 7.9157
H Ac Tl
1 2 1
Direct
0.0000 0.0000 0.0000
0.0787 0.0787 0.7639
0.9213 0.9213 0.2361
0.5000 0.5000 0.5000

[3]
Ac2TlH | Alexandria | GGA-PBE | optimized geometry; SG = Pnma (62); total moment = 0.0 μB/f.u.; total energy = -3.85 eV per atom; density of states at the Fermi level = 0.63 states/eV/atom; ρ = 8.88 g cm⁻³
1.0
4.8435 0.0000 0.0000
0.0000 7.6451 0.0000
0.0000 0.0000 13.3208
Ac Tl H
8 4 4
Direct
0.7500 0.2499 0.4545
0.2500 0.7501 0.5455
0.7500 0.7499 0.0455
0.2500 0.2501 0.9545
0.7500 0.0009 0.7498
0.2500 0.4991 0.2498
0.7500 0.5009 0.7502
0.2500 0.9991 0.2502
0.7500 0.2489 0.1383
0.2500 0.7511 0.8617
0.7500 0.7489 0.3617
0.2500 0.2511 0.6383
0.2500 0.7493 0.1248
0.2500 0.2493 0.3752
0.7500 0.2507 0.8752
0.7500 0.7507 0.6248

[4]
Ac5Tl4H | Alexandria | GGA-PBE | optimized geometry; SG = I4 (79); total moment = 0.0 μB/f.u.; total energy = -3.51 eV per atom; density of states at the Fermi level = 1.12 states/eV/atom; ρ = 9.56 g cm⁻³
1.0
6.3228 0.0000 0.0000
3.1614 7.3275 0.0000
3.1614 0.0000 7.3275
Ac Tl H
5 4 1
Direct
0.8692 0.3527 0.8949
0.2220 0.8949 0.6473
0.7641 0.1051 0.3527
0.1168 0.6473 0.1051
0.4886 0.0000 0.0000
0.4454 0.3964 0.7026
0.8418 0.7026 0.6036
0.1479 0.2974 0.3964
0.5443 0.6036 0.2974
0.0702 0.0000 0.0000